Record 1
DFT (GGA-PBE) results for a relaxed structure of MgHgF2.

a b c (Å): 4.4476 4.4476 4.4476
angles (deg): 60.00 60.00 60.00
Atoms (fractional coordinates):
F  0.7500  0.7500  0.7500
F  0.2500  0.2500  0.2500
Hg  0.5000  0.5000  0.5000
Mg  0.0000  0.0000  0.0000

Values from the calculation:
The raw formation energy comes out at -1.5070 eV per atom. As for the symmetry: Fm-3m. The calculation puts the total energy at -11.667 eV per cell. The value obtained for the energy above the most stable polymorph in this dataset is 4.13 eV/f.u. The calculation puts the density at 7017 kg/m³.


Record 2
DFT (GGA-PBE) results for a relaxed structure of Pu2Pd9Au.

a b c (Å): 4.1179 4.1179 12.1843
angles (deg): 90.00 90.00 90.00
Site moments in Bohr magnetons follow the coordinates.
Atoms (fractional coordinates):
Pd  0.5000  0.0000  0.8360  -0.12
Pd  0.5000  0.5000  0.3326  -0.09
Pd  0.0000  0.5000  0.5000  -0.10
Pd  0.0000  0.5000  0.8360  -0.12
Pd  0.5000  0.5000  0.0000  -0.05
Pd  0.5000  0.0000  0.5000  -0.10
Pd  0.5000  0.5000  0.6674  -0.09
Pd  0.5000  0.0000  0.1640  -0.12
Pd  0.0000  0.5000  0.1640  -0.12
Au  0.0000  0.0000  0.0000  -0.01
Pu  0.0000  0.0000  0.3257  4.69
Pu  0.0000  0.0000  0.6743  4.69

Values from the calculation:
As for the symmetry: P4/mmm. The value obtained for the formation energy is -392 meV per atom. The calculation puts the total energy at -83.383 eV per cell. The calculation puts the density at 13203 kg/m³.


Record 3
DFT (GGA-PBE) results for a relaxed structure of PmZnBO4.

a b c (Å): 5.2596 5.2596 6.3884
angles (deg): 90.00 90.00 112.73
Atoms (fractional coordinates):
O  0.2372  0.7628  0.0568
O  0.7628  0.2372  0.9432
O  0.7628  0.2372  0.5568
O  0.2423  0.1742  0.2500
O  0.2372  0.7628  0.4432
O  0.1742  0.2423  0.7500
O  0.7577  0.8258  0.7500
O  0.8258  0.7577  0.2500
Zn  0.1572  0.8428  0.7500
Zn  0.8428  0.1572  0.2500
B  0.1427  0.8573  0.2500
B  0.8573  0.1427  0.7500
Pm  0.5000  0.5000  0.5000
Pm  0.5000  0.5000  0.0000

Values from the calculation:
The raw formation energy comes out at -2.3247 eV per atom. As for the symmetry: Cmcm. The calculation puts the total energy at -97.616 eV per cell. The calculation puts the density at 5811 kg/m³.


Record 4
DFT (GGA-PBE) results for a relaxed structure of K2LaMo.

a b c (Å): 5.8365 5.8365 5.8365
angles (deg): 119.95 119.95 90.09
Site moments in Bohr magnetons follow the coordinates.
Atoms (fractional coordinates):
K  0.2500  0.7500  0.5000  -0.02
K  0.0000  0.0000  0.0000  0.00
Mo  0.7500  0.2500  0.5000  2.72
La  0.5000  0.5000  0.0000  -0.11

Values from the calculation:
As for the symmetry: I-4m2. The value obtained for the formation energy is 1220 meV per atom. The calculation puts the total energy at -13.072 eV per cell. The value obtained for the energy above the most stable polymorph in this dataset is 2.02 eV/f.u. The calculation puts the density at 3695 kg/m³.


Record 5
DFT (GGA-PBE) results for a relaxed structure of KIn2TcSn.

a b c (Å): 5.3066 5.3066 5.1786
angles (deg): 90.00 90.00 90.00
Atoms (fractional coordinates):
In  0.0000  0.5000  0.0000
In  0.5000  0.0000  0.0000
Sn  0.0000  0.0000  0.5000
Tc  0.0000  0.0000  0.0000
K  0.5000  0.5000  0.5000

Values from the calculation:
As for the symmetry: P4/mmm. The value obtained for the formation energy is -58 meV per atom. The calculation puts the total energy at -21.234 eV per cell. The value obtained for the energy above the most stable polymorph in this dataset is 0.00 eV/f.u. The calculation puts the density at 5528 kg/m³.


Record 6
DFT (GGA-PBE) results for a relaxed structure of KPdCl.

a b c (Å): 5.2909 5.2909 9.2638
angles (deg): 90.00 90.00 120.00
Atoms (fractional coordinates):
K  0.3333  0.6667  0.2500
K  0.6667  0.3333  0.7500
Cl  0.0000  0.0000  0.7500
Cl  0.0000  0.0000  0.2500
Pd  0.0000  0.0000  0.5000
Pd  0.0000  0.0000  0.0000

Values from the calculation:
The raw formation energy comes out at -0.6410 eV per atom. As for the symmetry: P6_3/mmc. The calculation puts the total energy at -20.120 eV per cell. The value obtained for the energy above the most stable polymorph in this dataset is 0.53 eV/f.u. The calculation puts the density at 2676 kg/m³.


Number 1: volume 15.553 Å³ per atom. Number 2: volume 17.217 Å³ per atom. Number 3: volume 11.643 Å³ per atom. Number 4: volume 35.173 Å³ per atom. Number 5: volume 29.166 Å³ per atom. Number 6: volume 37.431 Å³ per atom.